DFT (PBE) results for a relaxed Cd2Bi2Cl crystal.

Summary:
* spin magnetization: 0.00 μB/f.u.

Structure (CIF):
```
data_Cd2Bi2Cl
_space_group_name_H-M_alt 'P 4/m b m'
_space_group_IT_number 127
_space_group_name_Hall '-P 4 2ab'
_cell_length_a 9.0854
_cell_length_b 9.0854
_cell_length_c 3.4273
_cell_angle_alpha 90.00
_cell_angle_beta 90.00
_cell_angle_gamma 90.00
loop_
_atom_site_label
_atom_site_type_symbol
_atom_site_fract_x
_atom_site_fract_y
_atom_site_fract_z
Cd1 Cd 0.1630 0.3370 0.0000
Bi1 Bi 0.1366 0.6366 0.5000
Cl1 Cl 0.0000 0.0000 0.0000
```

---

DFT (PBE) results for a relaxed Cd2BiCl crystal.

Summary:
* spin magnetization: 0.00 μB/f.u.

Structure (CIF):
```
data_Cd2BiCl
_space_group_name_H-M_alt 'R -3 m'
_space_group_IT_number 166
_space_group_name_Hall '-R 3 2"'
_cell_length_a 4.3696
_cell_length_b 4.3696
_cell_length_c 21.0950
_cell_angle_alpha 90.00
_cell_angle_beta 90.00
_cell_angle_gamma 120.00
loop_
_atom_site_label
_atom_site_type_symbol
_atom_site_fract_x
_atom_site_fract_y
_atom_site_fract_z
Cd1 Cd 0.0000 0.0000 0.2461
Bi1 Bi 0.0000 0.0000 0.5000
Cl1 Cl 0.0000 0.0000 0.0000
```

---

DFT (PBE) results for a relaxed Cd2BiCl crystal.

Summary:
* spin magnetization: 0.00 μB/f.u.

Structure (CIF):
```
data_Cd2BiCl
_space_group_name_H-M_alt 'R 3 m'
_space_group_IT_number 160
_space_group_name_Hall 'R 3 -2"'
_cell_length_a 4.3654
_cell_length_b 4.3654
_cell_length_c 21.9743
_cell_angle_alpha 90.00
_cell_angle_beta 90.00
_cell_angle_gamma 120.00
loop_
_atom_site_label
_atom_site_type_symbol
_atom_site_fract_x
_atom_site_fract_y
_atom_site_fract_z
Cd1 Cd 0.0000 0.0000 0.0000
Cd2 Cd 0.0000 0.0000 0.1802
Bi1 Bi 0.0000 0.0000 0.5928
Cl1 Cl 0.0000 0.0000 0.7714
```

---

E above lowest polymorph across the listed records, respectively: 0.049; 0.073; 0.116 eV per atom.
Formation energy (no corrections) across the listed records, respectively: -17; -225; -182 meV/atom.
N(E_F) across the listed records, respectively: 0.71; 0.43; 0.47 states/eV per atom.